1.
LiCdPb3: relaxed, PBE.

```
5
Lattice="5.721 0.000 0.000 0.000 5.721 0.000 0.000 0.000 5.721" Properties=species:S:1:pos:R:3 pbc="T T T"
Li 0.000 0.000 0.000
Cd 2.860 2.860 2.860
Pb 0.000 2.860 2.860
Pb 2.860 0.000 2.860
Pb 2.860 2.860 0.000
```

=====

2.
PmYCo4: relaxed, PBE.

```
6
Lattice="0.000 3.621 3.621 3.621 0.000 3.621 3.621 3.621 0.000" Properties=species:S:1:pos:R:3 pbc="T T T"
Pm 0.000 0.000 0.000
Y 1.810 1.810 1.810
Co 4.525 2.717 2.717
Co 2.717 4.525 2.717
Co 2.717 2.717 4.525
Co 4.525 4.525 4.525
```

=====

3.
ThMnTcGe2: relaxed, PBE.

```
10
Lattice="4.153 0.000 0.000 0.000 4.153 0.000 0.000 0.000 10.756" Properties=species:S:1:pos:R:3 pbc="T T T"
Th 0.000 0.000 0.000
Th 2.077 2.077 5.378
Mn 0.000 2.077 8.067
Mn 2.077 0.000 2.689
Tc 0.000 2.077 2.689
Tc 2.077 0.000 8.067
Ge 0.000 0.000 4.066
Ge 0.000 0.000 6.690
Ge 2.077 2.077 1.312
Ge 2.077 2.077 9.444
```

=====

| no. | formation enthalpy at 0 K (eV per atom) | M_tot (μB/f.u.) |
| --- | --- | --- |
| 1 | 0.358 | 0.00 |
| 2 | -0.121 | 3.83 |
| 3 | -0.489 | 2.85 |